Record 1
HfMgCo3 PBE relaxed; M_tot = 0.20 μB/atom; space group = No. 221; ΔE to the lowest computed polymorph = 0.0 kJ per mole of atoms; energy = -5.675 eV per atom; energy of formation = 0.898 eV/atom
1.0
4.224 0.000 0.000
0.000 4.224 0.000
0.000 0.000 4.224
Hf Mg Co
1 1 3
direct
0.000 0.000 0.000 Hf
0.500 0.500 0.500 Mg
0.000 0.500 0.500 Co
0.500 0.000 0.500 Co
0.500 0.500 0.000 Co


Record 2
Hf2MgCo PBE relaxed; M_tot = 0.00 μB/atom; space group = No. 8; energy = -7.112 eV per atom; energy of formation = 0.040 eV/atom
1.0
2.932 -1.611 0.000
2.932 1.611 0.000
-2.081 0.000 8.643
Hf Mg Co
2 1 1
direct
0.000 0.000 0.000 Hf
0.222 0.222 0.619 Hf
0.430 0.430 0.309 Mg
0.611 0.611 0.809 Co


Record 3
Hf2MgCo PBE relaxed; M_tot = 0.00 μB/atom; space group = No. 122; energy = -6.941 eV per atom; energy of formation = 0.211 eV/atom
1.0
-3.748 3.748 2.828
3.748 -3.748 2.828
3.748 3.748 -2.828
Hf Mg Co
4 2 2
direct
0.063 0.625 0.938 Hf
0.375 0.313 0.438 Hf
0.687 0.125 0.062 Hf
0.875 0.937 0.562 Hf
0.250 0.750 0.500 Mg
0.500 0.500 0.000 Mg
0.000 0.000 0.000 Co
0.750 0.250 0.500 Co


Record 4
HfMgCo2 PBE relaxed; M_tot = 0.62 μB/atom; space group = No. 71; energy = -5.663 eV per atom; energy of formation = 0.777 eV/atom
1.0
-1.366 2.479 4.904
1.366 -2.479 4.904
1.366 2.479 -4.904
Hf Mg Co
1 1 2
direct
0.000 0.000 0.000 Hf
0.500 0.500 0.000 Mg
0.252 0.252 0.000 Co
0.748 0.748 0.000 Co


Record 5
HfMg3Co PBE relaxed; M_tot = 0.10 μB/atom; space group = No. 221; ΔE to the lowest computed polymorph = 0.0 kJ per mole of atoms; energy = -3.837 eV per atom; energy of formation = 0.531 eV/atom
1.0
4.674 0.000 0.000
0.000 4.674 0.000
0.000 0.000 4.674
Hf Mg Co
1 3 1
direct
0.000 0.000 0.000 Hf
0.000 0.500 0.500 Mg
0.500 0.000 0.500 Mg
0.500 0.500 0.000 Mg
0.500 0.500 0.500 Co


Record 6
HfMgCo3 PBE relaxed; M_tot = 0.30 μB/atom; space group = No. 221; ΔE to the lowest computed polymorph = 16.4 kJ per mole of atoms; energy = -5.505 eV per atom; energy of formation = 1.068 eV/atom
1.0
4.547 0.000 0.000
0.000 4.547 0.000
0.000 0.000 4.547
Hf Mg Co
1 1 3
direct
0.000 0.000 0.000 Hf
0.500 0.500 0.500 Mg
0.000 0.000 0.500 Co
0.000 0.500 0.000 Co
0.500 0.000 0.000 Co


Record 7
HfMgCo2 PBE relaxed; M_tot = 0.00 μB/atom; space group = No. 122; energy = -6.114 eV per atom; energy of formation = 0.326 eV/atom
1.0
-3.340 3.340 2.837
3.340 -3.340 2.837
3.340 3.340 -2.837
Hf Mg Co
2 2 4
direct
0.000 0.000 0.000 Hf
0.750 0.250 0.500 Hf
0.250 0.750 0.500 Mg
0.500 0.500 0.000 Mg
0.119 0.125 0.494 Co
0.375 0.881 0.006 Co
0.631 0.625 0.506 Co
0.875 0.369 0.994 Co


Record 8
HfMg6Co PBE relaxed; M_tot = 0.04 μB/atom; space group = No. 38; ΔE to the lowest computed polymorph = 4.6 kJ per mole of atoms; energy = -3.153 eV per atom; energy of formation = 0.175 eV/atom
1.0
4.898 0.000 0.000
0.000 2.885 5.651
0.000 -2.885 5.651
Hf Mg Co
1 6 1
direct
0.000 0.000 0.000 Hf
0.000 0.001 0.496 Mg
0.000 0.496 0.001 Mg
0.500 0.151 0.151 Mg
0.500 0.154 0.647 Mg
0.500 0.623 0.623 Mg
0.500 0.647 0.154 Mg
0.000 0.479 0.479 Co


Record 9
Hf2MgCo PBE relaxed; M_tot = 0.00 μB/atom; space group = No. 123; energy = -7.210 eV per atom; energy of formation = -0.058 eV/atom
1.0
3.221 0.000 0.000
0.000 3.221 0.000
0.000 0.000 7.153
Hf Mg Co
2 1 1
direct
0.000 0.000 0.210 Hf
0.000 0.000 0.790 Hf
0.500 0.500 0.500 Mg
0.500 0.500 0.000 Co


Record 10
Hf5MgCo6 PBE relaxed; M_tot = 0.25 μB/atom; space group = No. 71; energy = -8.196 eV per atom; energy of formation = -0.363 eV/atom
1.0
-2.216 3.141 6.641
2.216 -3.141 6.641
2.216 3.141 -6.641
Hf Mg Co
5 1 6
direct
0.000 0.000 0.000 Hf
0.169 0.669 0.500 Hf
0.341 0.341 0.000 Hf
0.659 0.659 0.000 Hf
0.831 0.331 0.500 Hf
0.500 0.000 0.500 Mg
0.070 0.828 0.242 Co
0.235 0.500 0.735 Co
0.414 0.172 0.242 Co
0.586 0.828 0.758 Co
0.765 0.500 0.265 Co
0.930 0.172 0.758 Co


Record 11
HfMg14Co PBE relaxed; M_tot = 0.09 μB/atom; space group = No. 187; ΔE to the lowest computed polymorph = 1.8 kJ per mole of atoms; energy = -2.363 eV per atom; energy of formation = 0.099 eV/atom
1.0
6.311 0.000 0.000
-3.156 5.466 0.000
0.000 0.000 9.939
Hf Mg Co
1 14 1
direct
0.000 0.000 0.000 Hf
0.010 0.505 0.000 Mg
0.159 0.318 0.261 Mg
0.159 0.318 0.739 Mg
0.159 0.841 0.261 Mg
0.159 0.841 0.739 Mg
0.495 0.505 0.000 Mg
0.495 0.990 0.000 Mg
0.503 0.005 0.500 Mg
0.503 0.497 0.500 Mg
0.667 0.333 0.239 Mg
0.667 0.333 0.761 Mg
0.682 0.841 0.261 Mg
0.682 0.841 0.739 Mg
0.995 0.497 0.500 Mg
0.000 0.000 0.500 Co


Record 12
Hf2MgCo3 PBE relaxed; M_tot = 0.00 μB/atom; space group = No. 123; energy = -7.434 eV per atom; energy of formation = -0.298 eV/atom
1.0
3.154 0.000 0.000
0.000 3.154 0.000
0.000 0.000 9.121
Hf Mg Co
2 1 3
direct
0.000 0.000 0.173 Hf
0.000 0.000 0.827 Hf
0.000 0.000 0.500 Mg
0.500 0.500 0.000 Co
0.500 0.500 0.323 Co
0.500 0.500 0.677 Co


Record 13
HfMgCoNi PBE relaxed; M_tot = 0.00 μB/atom; space group = No. 216; energy = -6.392 eV per atom; energy of formation = -0.283 eV/atom
1.0
0.000 3.089 3.089
3.089 0.000 3.089
3.089 3.089 0.000
Hf Mg Co Ni
1 1 1 1
direct
0.000 0.000 0.000 Hf
0.500 0.500 0.500 Mg
0.750 0.750 0.750 Co
0.250 0.250 0.250 Ni